Entry 1:
This record from Alexandria describes a relaxed K2H2Cl7 crystal. The functional is PBE-GGA.

Structure (extended XYZ):
```
11
Lattice="5.118 6.065 -0.505 -5.118 6.065 -0.505 0.000 0.017 4.582" Properties=species:S:1:pos:R:3 pbc="T T T"
Cl -1.862 8.997 0.363
K 3.126 6.073 1.786
Cl 0.000 5.839 0.635
Cl 1.862 3.149 3.209
Cl 1.862 8.997 0.363
H 0.000 3.371 0.914
Cl 0.000 6.308 2.937
Cl -1.862 3.149 3.209
K -3.126 6.073 1.786
Cl 0.000 0.000 0.000
H 0.000 8.776 2.658
```

Results
symmetry	C2/m (12)
E_tot	-23.0	eV/f.u.
density of states at the Fermi level	9.3	states/eV per cell
size of the total moment	0.051	μB per atom


Entry 2:
This record from Alexandria describes a relaxed ThZr5Sb4 crystal. The functional is PBE-GGA.

Structure (extended XYZ):
```
20
Lattice="-3.111 -3.040 -3.531 7.989 -4.275 -3.360 -0.900 -7.124 6.925" Properties=species:S:1:pos:R:3 pbc="T T T"
Th -3.073 -3.002 -3.487
Zr 2.396 -3.699 -3.494
Th 3.506 -5.737 1.739
Sb 5.018 -4.969 -4.460
Zr -0.974 -8.780 1.724
Zr 0.944 -3.625 0.091
Sb 3.404 -8.044 -0.648
Sb 3.163 -8.204 4.063
Zr -1.963 -5.040 1.745
Zr 3.379 -7.195 -3.475
Sb -3.344 -5.400 -1.082
Zr 5.043 -5.819 -1.633
Sb 0.484 -6.482 0.580
Sb -3.630 -7.659 1.114
Zr 2.916 -10.861 0.089
Sb -0.051 -2.257 -2.328
Sb 3.777 -3.339 -0.666
Zr 4.606 -9.277 1.729
Zr -0.511 -5.114 -1.839
Zr 0.507 -7.084 3.453
```

Results
symmetry	Pmmn (59)
E_tot	-69.9	eV/f.u.
density of states at the Fermi level	19.8	states/eV per cell
uncorrected formation energy	-0.3231	eV per atom
size of the total moment	0.000	μB per atom